V4O7F5 | PBE+U | optimized geometry

abc: 5.299 5.338 9.100
angles: 74.01 75.18 61.42
Sites, in units of the cell vectors:
V: 0.000 0.000 0.000
V: 0.234 0.247 0.235
V: 0.489 0.496 0.476
V: 0.747 0.759 0.743
O: 0.090 0.562 0.118
O: 0.103 0.034 0.154
O: 0.411 0.370 0.350
O: 0.416 0.837 0.391
O: 0.592 0.064 0.621
O: 0.898 0.848 0.849
O: 0.921 0.319 0.886
F: 0.105 0.581 0.605
F: 0.401 0.803 0.897
F: 0.604 0.536 0.660
F: 0.609 0.075 0.099
F: 0.902 0.323 0.409

Summary:
D(E_F) = 0.00 states/eV/atom
magnetic moment = 1.00 Bohr magnetons per cell
total energy = -107.3 eV for the cell shown